Record 1
Here is a relaxed structure of BaZnGaAu6 from Alexandria via LeMat-Bulk. Energies are from GGA-PBE.

Cell lengths 7.6008, 9.9273, 8.2611 Å; angles 126.93, 117.39, 90.00 degrees
Closest atoms and distances in Å follow each position.
Fractional positions:
Au (0.0668, 0.8168, 0.1335)  2 Zn 2.74, 4 Au 2.88
Ba (0.7387, 0.4887, 0.4773)  10 Au 3.36-3.66, 2 Ga 3.58
Ga (0.5000, 0.5000, 0.0000)  6 Au 2.62-2.65
Au (0.9247, 0.1135, 0.2537)  1 Ga 2.65, 1 Zn 2.72, 3 Au 2.75-2.88
Au (0.3291, 0.1135, 0.2537)  1 Ga 2.65, 1 Zn 2.72, 3 Au 2.75-2.88
Zn (0.5000, 0.0000, 0.5000)  8 Au 2.66-2.74
Zn (0.0000, 0.0000, 0.5000)  8 Au 2.66-2.74
Au (0.9247, 0.6402, 0.2537)  1 Ga 2.65, 1 Zn 2.72, 3 Au 2.75-2.88
Au (0.5779, 0.8279, 0.1558)  2 Ga 2.62, 2 Zn 2.66
Au (0.0753, 0.8865, 0.7463)  1 Ga 2.65, 1 Zn 2.72, 3 Au 2.75-2.88
Au (0.6709, 0.3598, 0.7463)  1 Ga 2.65, 1 Zn 2.72, 3 Au 2.75-2.88
Au (0.0753, 0.3598, 0.7463)  1 Ga 2.65, 1 Zn 2.72, 3 Au 2.75-2.88
Ba (0.2613, 0.5113, 0.5227)  10 Au 3.36-3.66, 2 Ga 3.58
Au (0.3291, 0.6402, 0.2537)  1 Ga 2.65, 1 Zn 2.72, 3 Au 2.75-2.88
Au (0.6709, 0.8865, 0.7463)  1 Ga 2.65, 1 Zn 2.72, 3 Au 2.75-2.88
Au (0.9332, 0.1832, 0.8665)  2 Zn 2.74, 4 Au 2.88
Ga (0.5000, 0.0000, 0.0000)  6 Au 2.62-2.65
Au (0.4221, 0.1721, 0.8442)  2 Ga 2.62, 2 Zn 2.66

Values from the calculation:
V in Å³ per atom: 22.64
Raw total energy in eV/atom: -3.1011

---

Record 2
Here is a relaxed structure of BaZnGaAu2 from Alexandria via LeMat-Bulk. Energies are from GGA-PBE.

Cell lengths 4.5452, 4.5452, 6.6024 Å; angles 110.13, 110.13, 90.00 degrees
Closest atoms and distances in Å follow each position.
Fractional positions:
Au (0.6280, 0.6280, 0.2559)  2 Ga 2.67, 2 Zn 2.67, 1 Au 2.95
Ga (0.2500, 0.7500, 0.5000)  4 Au 2.67
Au (0.3720, 0.3720, 0.7441)  2 Zn 2.67, 2 Ga 2.67, 1 Au 2.95
Zn (0.7500, 0.2500, 0.5000)  4 Au 2.67
Ba (0.0000, 0.0000, 0.0000)  8 Au 3.54, 4 Ga 3.67, 4 Zn 3.67

Values from the calculation:
V in Å³ per atom: 23.83
Energy relative to the lowest polymorph listed for this composition in eV per atom: 0.0000

---

Record 3
Here is a relaxed structure of BaZnGaAu2 from Alexandria via LeMat-Bulk. Energies are from GGA-PBE.

Cell lengths 5.0982, 5.0982, 4.9865 Å; angles 90.00, 90.00, 90.00 degrees
Closest atoms and distances in Å follow each position.
Fractional positions:
Ga (0.0000, 0.0000, 0.0000)  2 Zn 2.49, 4 Au 2.55
Au (0.0000, 0.5000, 0.0000)  2 Ga 2.55
Au (0.5000, 0.0000, 0.0000)  2 Ga 2.55
Zn (0.0000, 0.0000, 0.5000)  2 Ga 2.49
Ba (0.5000, 0.5000, 0.5000)  8 Au 3.57, 4 Zn 3.60

Values from the calculation:
V in Å³ per atom: 25.92
Energy relative to the lowest polymorph listed for this composition in eV per atom: 0.2003

---

Record 4
Here is a relaxed structure of BaZnGaAu3 from Alexandria via LeMat-Bulk. Energies are from GGA-PBE.

Cell lengths 6.8036, 6.8971, 7.2011 Å; angles 118.61, 90.00, 90.00 degrees
Closest atoms and distances in Å follow each position.
Fractional positions:
Au (0.5000, 0.7188, 0.0000)  2 Zn 2.58, 2 Ga 2.61
Au (0.2500, 0.1999, 0.3999)  1 Ga 2.52, 1 Zn 2.57
Ga (0.2500, 0.3995, 0.7990)  5 Au 2.52-2.61
Zn (0.7500, 0.0032, 0.0065)  5 Au 2.57-2.58
Au (0.0000, 0.7188, 0.0000)  2 Zn 2.58, 2 Ga 2.61
Ba (0.2500, 0.7238, 0.4476)  1 Zn 3.45, 8 Au 3.46-3.63, 2 Ga 3.74
Au (0.0000, 0.2812, 0.0000)  2 Zn 2.58, 2 Ga 2.61
Au (0.7500, 0.8001, 0.6001)  1 Ga 2.52, 1 Zn 2.57
Au (0.5000, 0.2812, 0.0000)  2 Zn 2.58, 2 Ga 2.61
Zn (0.2500, 0.9968, 0.9935)  5 Au 2.57-2.58
Ba (0.7500, 0.2762, 0.5524)  1 Zn 3.45, 8 Au 3.46-3.63, 2 Ga 3.74
Ga (0.7500, 0.6005, 0.2010)  5 Au 2.52-2.61

Values from the calculation:
V in Å³ per atom: 24.72
Raw total energy in eV/atom: -3.1030

---

Record 5
Here is a relaxed structure of BaGdAu2 from Alexandria via LeMat-Bulk. Energies are from GGA-PBE.

Cell lengths 4.4690, 4.4690, 7.8257 Å; angles 73.41, 73.41, 60.00 degrees
Closest atoms and distances in Å follow each position.
Fractional positions:
Au (0.7353, 0.7353, 0.7941)  3 Gd 3.00
Ba (0.5000, 0.5000, 0.5000)  6 Au 3.37
Gd (0.0000, 0.0000, 0.0000)  6 Au 3.00
Au (0.2647, 0.2647, 0.2059)  3 Gd 3.00

Values from the calculation:
V in Å³ per atom: 31.95
Raw total energy in eV/atom: -6.3076

---

Record 6
Here is a relaxed structure of BaGdAu2 from Alexandria via LeMat-Bulk. Energies are from GGA-PBE.

Cell lengths 3.7939, 3.7939, 7.7774 Å; angles 90.00, 90.00, 90.00 degrees
Closest atoms and distances in Å follow each position.
Fractional positions:
Gd (0.5000, 0.5000, 0.0000)  8 Au 3.10
Au (0.0000, 0.0000, 0.1995)  4 Gd 3.10, 1 Au 3.10
Au (0.0000, 0.0000, 0.8005)  4 Gd 3.10, 1 Au 3.10
Ba (0.5000, 0.5000, 0.5000)  8 Au 3.56, 4 Ba 3.79, 2 Gd 3.89

Values from the calculation:
V in Å³ per atom: 27.99
Raw total energy in eV/atom: -6.3847